[1]
TbPm4Er2Tm: optimized geometry, PBE.

Lattice parameters (Å, degrees): 3.5927 6.2094 11.7990 79.79 90.00 90.00
Closest atoms and distances in Å follow each position.
Fractional coordinates of all 8 atoms:
Tm1 0.0000 0.5000 0.5000  6 Pm 3.55-3.56, 4 Er 3.59, 2 Tm 3.59
Pm1 0.5000 0.2498 0.7491  2 Tm 3.56, 3 Er 3.56-3.57, 1 Tb 3.58, 6 Pm 3.59
Pm2 0.5000 0.7502 0.2509  2 Tm 3.56, 3 Er 3.56-3.57, 1 Tb 3.58, 6 Pm 3.59
Er1 0.5000 0.0000 0.5000  6 Pm 3.55-3.56, 4 Tm 3.59, 2 Er 3.59
Pm3 0.0000 0.7501 0.7486  3 Er 3.55-3.58, 1 Tm 3.55, 2 Tb 3.58, 6 Pm 3.59
Pm4 0.0000 0.2499 0.2514  3 Er 3.55-3.58, 1 Tm 3.55, 2 Tb 3.58, 6 Pm 3.59
Er2 0.0000 0.0000 0.0000  6 Pm 3.57-3.58, 4 Tb 3.59, 2 Er 3.59
Tb1 0.5000 0.5000 0.0000  6 Pm 3.58, 4 Er 3.59, 2 Tb 3.59

Summary:
DFT formation energy = 0.0169 eV/atom
E_tot = -37.1 eV per cell
symmetry = P2/m

***

[2]
LiPrNdY: optimized geometry, PBE.

Lattice parameters (Å, degrees): 5.6337 5.6337 5.6337 60.00 60.00 60.00
Closest atoms and distances in Å follow each position.
Fractional coordinates of all 4 atoms:
Nd1 0.2500 0.2500 0.2500  4 Li 3.45, 4 Y 3.45
Li1 0.5000 0.5000 0.5000  4 Pr 3.45, 4 Nd 3.45
Y1 0.0000 0.0000 0.0000  4 Nd 3.45, 4 Pr 3.45
Pr1 0.7500 0.7500 0.7500  4 Y 3.45, 4 Li 3.45

Summary:
DFT formation energy = 0.1699 eV/atom
E_tot = -17.2 eV per cell
symmetry = F-43m

***

[3]
TbPu3As4: optimized geometry, PBE.

Lattice parameters (Å, degrees): 5.8463 5.8463 5.8463 90.00 90.00 90.00
Closest atoms and distances in Å follow each position.
Fractional coordinates of all 8 atoms:
Pu1 0.0000 0.5000 0.5000  6 As 2.92
As1 0.0000 0.0000 0.5000  4 Pu 2.92, 2 Tb 2.92
Tb1 0.0000 0.0000 0.0000  6 As 2.92
Pu2 0.5000 0.0000 0.5000  6 As 2.92
Pu3 0.5000 0.5000 0.0000  6 As 2.92
As2 0.5000 0.5000 0.5000  6 Pu 2.92
As3 0.5000 0.0000 0.0000  4 Pu 2.92, 2 Tb 2.92
As4 0.0000 0.5000 0.0000  4 Pu 2.92, 2 Tb 2.92

Summary:
DFT formation energy = -1.1454 eV/atom
E above lowest polymorph = 0.000 eV/atom
E_tot = -75.4 eV per cell
symmetry = Pm-3m

***

[4]
Ca2ZnTcAs: optimized geometry, PBE.

Lattice parameters (Å, degrees): 5.4081 4.8156 5.4081 90.00 90.00 90.00
Closest atoms and distances in Å follow each position.
Fractional coordinates of all 5 atoms:
Ca1 0.5000 0.0000 0.0000  2 Tc 2.70
Ca2 0.0000 0.0000 0.5000  2 Tc 2.70
As1 0.5000 0.5000 0.5000  8 Ca 3.62, 4 Zn 3.82
Tc1 0.0000 0.0000 0.0000  2 Zn 2.41
Zn1 0.0000 0.5000 0.0000  2 Tc 2.41

Summary:
DFT formation energy = 0.5359 eV/atom
E_tot = -17.6 eV per cell
symmetry = P4/mmm

***

[5]
NdY2Cu9: optimized geometry, PBE.

Lattice parameters (Å, degrees): 5.2390 5.2390 8.7970 72.68 72.68 60.00
Closest atoms and distances in Å follow each position.
Fractional coordinates of all 12 atoms:
Nd1 0.0000 0.0000 0.0000  18 Cu 3.02-3.32
Cu1 0.4184 0.9161 0.2472  7 Cu 2.52-2.63
Y1 0.8566 0.8566 0.4303  12 Cu 3.03-3.08, 3 Y 3.24
Cu2 0.9161 0.4184 0.2472  7 Cu 2.52-2.63
Cu3 0.0839 0.5816 0.7528  7 Cu 2.52-2.63
Cu4 0.5816 0.5816 0.7528  7 Cu 2.52-2.63
Y2 0.1434 0.1434 0.5697  12 Cu 3.03-3.08, 3 Y 3.24
Cu5 0.6679 0.6679 0.9964  6 Cu 2.52-2.56
Cu6 0.3321 0.3321 0.0036  6 Cu 2.52-2.56
Cu7 0.5000 0.5000 0.5000  6 Cu 2.57
Cu8 0.5816 0.0839 0.7528  7 Cu 2.52-2.63
Cu9 0.4184 0.4184 0.2472  7 Cu 2.52-2.63

Summary:
DFT formation energy = -0.1813 eV/atom
E_tot = -56.7 eV per cell
symmetry = R-3m

***

[6]
GdYSi2: optimized geometry, PBE.

Lattice parameters (Å, degrees): 4.6176 4.6176 5.7322 66.25 66.25 60.00
Closest atoms and distances in Å follow each position.
Fractional coordinates of all 4 atoms:
Gd1 0.0000 0.0000 0.0000  6 Si 2.96
Si1 0.7509 0.7509 0.7473  3 Y 2.95, 3 Gd 2.96
Si2 0.2491 0.2491 0.2527  3 Y 2.95, 3 Gd 2.96
Y1 0.5000 0.5000 0.5000  6 Si 2.95

Summary:
E_tot = -33.5 eV per cell
symmetry = R-3m
raw formation energy = -199.6 kJ/mol of formula units

***

[7]
NaZr: optimized geometry, PBE.

Lattice parameters (Å, degrees): 3.2589 3.2707 11.8807 82.66 89.94 60.16
Closest atoms and distances in Å follow each position.
Fractional coordinates of all 4 atoms:
Zr1 0.0138 0.5757 0.7033  9 Zr 3.05-3.27
Na1 0.2090 0.1839 0.2404  6 Na 3.26-3.27, 3 Zr 3.56-3.57
Na2 0.7609 0.0728 0.9602  6 Na 3.26-3.27, 3 Zr 3.55-3.57
Zr2 0.6205 0.3632 0.4982  9 Zr 3.05-3.27

Summary:
DFT formation energy = 0.2238 eV/atom
E above lowest polymorph = 0.041 eV/atom
E_tot = -18.8 eV per cell
symmetry = P1

***

[8]
AcPmPdRh: optimized geometry, PBE.

Lattice parameters (Å, degrees): 4.0338 4.4601 5.9722 90.00 109.74 90.00
Closest atoms and distances in Å follow each position.
Fractional coordinates of all 4 atoms:
Pd1 0.5817 0.5000 0.1634  2 Rh 2.97, 4 Ac 3.09, 3 Pm 3.14-3.21
Pm1 0.8672 0.5000 0.7344  4 Rh 3.04, 3 Pd 3.14-3.21
Ac1 0.1434 0.0000 0.2867  1 Rh 2.97, 4 Pd 3.09
Rh1 0.4078 0.0000 0.8155  2 Pd 2.97, 1 Ac 2.97, 4 Pm 3.04

Summary:
DFT formation energy = -0.7499 eV/atom
E above lowest polymorph = 0.000 eV/atom
E_tot = -24.4 eV per cell
symmetry = Amm2

***

no.,total magnetization (Bohr magnetons per cell)
1,0.00
2,0.00
3,14.88
4,2.65
5,0.00
6,7.08
7,0.00
8,0.00